Entry 1:
A plane-wave DFT calculation with PBE was carried out for a geometry-optimized Tb4NdTm15 structure.

Cell: 4.966 4.966 24.803 Å, 90.00 90.00 90.00°
Fractional coordinates of all 20 atoms:
Tb 0.000 0.000 0.201
Tb 0.000 0.000 0.400
Tb 0.000 0.000 0.600
Tb 0.000 0.000 0.799
Nd 0.000 0.000 0.000
Tm 0.500 0.500 0.000
Tm 0.500 0.500 0.201
Tm 0.500 0.500 0.400
Tm 0.500 0.500 0.600
Tm 0.500 0.500 0.799
Tm 0.500 0.000 0.101
Tm 0.500 0.000 0.301
Tm 0.500 0.000 0.500
Tm 0.500 0.000 0.699
Tm 0.500 0.000 0.899
Tm 0.000 0.500 0.101
Tm 0.000 0.500 0.301
Tm 0.000 0.500 0.500
Tm 0.000 0.500 0.699
Tm 0.000 0.500 0.899

**Total magnetic moment**: 0.00 μB/cell
**Energy relative to the elements**: 25 meV per atom
**Space group**: P4/mmm (123)
**VASP energy**: -4.49 eV/atom



Entry 2:
A plane-wave DFT calculation with PBE was carried out for a geometry-optimized Tm3InRh structure.

Cell: 7.125 9.003 9.003 Å, 71.89 90.00 90.00°
Fractional coordinates of all 20 atoms:
Tm 0.493 0.311 0.976
Tm 0.007 0.024 0.689
Tm 0.507 0.689 0.024
Tm 0.993 0.976 0.311
Tm 0.993 0.689 0.024
Tm 0.507 0.976 0.311
Tm 0.007 0.311 0.976
Tm 0.493 0.024 0.689
Tm 0.500 0.369 0.369
Tm 0.000 0.631 0.631
Tm 0.500 0.631 0.631
Tm 0.000 0.369 0.369
In 0.250 0.996 0.004
In 0.750 0.004 0.996
In 0.250 0.680 0.320
In 0.750 0.320 0.680
Rh 0.750 0.430 0.130
Rh 0.750 0.870 0.570
Rh 0.250 0.570 0.870
Rh 0.250 0.130 0.430

**Total magnetic moment**: 0.00 μB/cell
**Energy relative to the elements**: -449 meV per atom
**Energy above the lowest structure with this stoichiometry**: 0.070 eV per atom
**Space group**: Cmcm (63)
**VASP energy**: -5.15 eV/atom



Entry 3:
A plane-wave DFT calculation with PBE was carried out for a geometry-optimized CaVH structure.

Cell: 10.485 3.143 5.355 Å, 90.00 90.00 90.00°
Fractional coordinates of all 12 atoms:
H 0.819 0.250 0.425
H 0.681 0.750 0.925
H 0.181 0.750 0.575
H 0.319 0.250 0.075
Ca 0.001 0.250 0.750
Ca 0.499 0.750 0.250
Ca 0.999 0.750 0.250
Ca 0.501 0.250 0.750
V 0.249 0.250 0.408
V 0.251 0.750 0.908
V 0.751 0.750 0.592
V 0.749 0.250 0.092

**Total magnetic moment**: 0.00 μB/cell
**Energy above the lowest structure with this stoichiometry**: 0.464 eV per atom
**Space group**: Pnma (62)
**VASP energy**: -4.45 eV/atom



Entry 4:
A plane-wave DFT calculation with PBE was carried out for a geometry-optimized LaPrGdTm structure.

Cell: 5.784 5.784 5.784 Å, 60.00 60.00 60.00°
Fractional coordinates of all 4 atoms:
Gd 0.500 0.500 0.500
Pr 0.750 0.750 0.750
Tm 0.000 0.000 0.000
La 0.250 0.250 0.250

**Total magnetic moment**: 7.85 μB/cell
**Energy relative to the elements**: 90 meV per atom
**Space group**: F-43m (216)
**VASP energy**: -6.97 eV/atom



Entry 5:
A plane-wave DFT calculation with PBE was carried out for a geometry-optimized Pr5Ge3 structure.

Cell: 6.182 9.053 9.053 Å, 83.30 70.03 70.03°
Fractional coordinates of all 16 atoms:
Pr 0.250 0.500 0.500
Pr 0.750 0.500 0.500
Pr 0.914 0.874 0.298
Pr 0.086 0.126 0.702
Pr 0.414 0.298 0.874
Pr 0.586 0.702 0.126
Pr 0.712 0.874 0.702
Pr 0.288 0.126 0.298
Pr 0.788 0.298 0.126
Pr 0.212 0.702 0.874
Ge 0.250 0.000 0.000
Ge 0.750 0.000 0.000
Ge 0.841 0.500 0.817
Ge 0.159 0.500 0.183
Ge 0.341 0.817 0.500
Ge 0.659 0.183 0.500

**Total magnetic moment**: 2.11 μB/cell
**Energy relative to the elements**: -659 meV per atom
**Energy above the lowest structure with this stoichiometry**: 0.026 eV per atom
**Space group**: I4/mcm (140)
**VASP energy**: -5.38 eV/atom



Entry 6:
A plane-wave DFT calculation with PBE was carried out for a geometry-optimized CsSn3Pb structure.

Cell: 9.558 9.530 10.257 Å, 120.85 90.00 90.00°
Fractional coordinates of all 20 atoms:
Cs 0.114 0.617 0.203
Cs 0.886 0.383 0.797
Cs 0.614 0.383 0.297
Cs 0.386 0.617 0.703
Sn 0.223 0.126 0.437
Sn 0.777 0.874 0.563
Sn 0.723 0.874 0.063
Sn 0.277 0.126 0.937
Sn 0.486 0.825 0.446
Sn 0.514 0.175 0.554
Sn 0.986 0.175 0.054
Sn 0.014 0.825 0.946
Sn 0.983 0.676 0.609
Sn 0.017 0.324 0.391
Sn 0.483 0.324 0.891
Sn 0.517 0.676 0.109
Pb 0.193 0.929 0.608
Pb 0.807 0.071 0.392
Pb 0.693 0.071 0.892
Pb 0.307 0.929 0.108

**Total magnetic moment**: 0.00 μB/cell
**Energy relative to the elements**: -98 meV per atom
**Energy above the lowest structure with this stoichiometry**: 0.000 eV per atom
**Space group**: P2_1/c (14)
**VASP energy**: -3.41 eV/atom



Entry 7:
A plane-wave DFT calculation with PBE was carried out for a geometry-optimized BeSi3 structure.

Cell: 4.079 4.079 3.258 Å, 90.00 90.00 105.36°
Fractional coordinates of all 4 atoms:
Be 0.000 0.000 0.000
Si 0.000 0.500 0.500
Si 0.500 0.000 0.500
Si 0.500 0.500 0.000

**ΔE_f (raw)**: 0.46 eV/atom
**Total magnetic moment**: 0.00 μB/cell
**Energy above the lowest structure with this stoichiometry**: 0.128 eV per atom
**Space group**: Cmmm (65)
**VASP energy**: -4.53 eV/atom



Entry 8:
A plane-wave DFT calculation with PBE was carried out for a geometry-optimized SrNbGa structure.

Cell: 4.440 3.150 14.062 Å, 90.00 90.00 134.82°
Fractional coordinates of all 6 atoms:
Ga 0.694 0.389 0.000
Ga 0.195 0.389 0.500
Sr 0.694 0.389 0.325
Sr 0.694 0.389 0.675
Nb 0.194 0.389 0.878
Nb 0.194 0.389 0.122

**Total magnetic moment**: 0.00 μB/cell
**Energy relative to the elements**: 259 meV per atom
**Space group**: Cmmm (65)
**VASP energy**: -4.67 eV/atom



Entry 9:
A plane-wave DFT calculation with PBE was carried out for a geometry-optimized Y2Zn2Pd structure.

Cell: 3.577 3.577 9.116 Å, 78.69 78.69 90.00°
Fractional coordinates of all 5 atoms:
Y 0.403 0.403 0.195
Y 0.597 0.597 0.805
Zn 0.750 0.250 0.500
Zn 0.250 0.750 0.500
Pd 0.000 0.000 0.000

**Total magnetic moment**: 0.00 μB/cell
**Energy relative to the elements**: -326 meV per atom
**Energy above the lowest structure with this stoichiometry**: 0.228 eV per atom
**Space group**: I4/mmm (139)
**VASP energy**: -4.46 eV/atom



Entry 10:
A plane-wave DFT calculation with PBE was carried out for a geometry-optimized Tb3ThSe4 structure.

Cell: 4.050 4.050 27.985 Å, 90.00 90.00 120.00°
Fractional coordinates of all 16 atoms:
Tb 0.000 0.000 0.000
Tb 0.000 0.000 0.500
Tb 0.333 0.667 0.878
Tb 0.667 0.333 0.122
Tb 0.667 0.333 0.378
Tb 0.333 0.667 0.622
Se 0.667 0.333 0.939
Se 0.333 0.667 0.061
Se 0.333 0.667 0.439
Se 0.667 0.333 0.561
Se 0.000 0.000 0.818
Se 0.000 0.000 0.182
Se 0.000 0.000 0.318
Se 0.000 0.000 0.682
Th 0.667 0.333 0.750
Th 0.333 0.667 0.250

**ΔE_f (raw)**: -1.70 eV/atom
**Total magnetic moment**: 0.00 μB/cell
**Space group**: P6_3/mmc (194)
**VASP energy**: -6.11 eV/atom



Entry 11:
A plane-wave DFT calculation with PBE was carried out for a geometry-optimized Dy12Fe3H5 structure.

Cell: 12.884 12.884 12.884 Å, 109.47 109.47 109.47°
Fractional coordinates of all 80 atoms:
H 0.125 0.375 0.250
H 0.000 0.500 0.000
H 0.000 0.000 0.000
H 0.375 0.250 0.125
H 0.500 0.000 0.500
H 0.500 0.500 0.000
H 0.125 0.750 0.375
H 0.750 0.125 0.875
H 0.750 0.625 0.375
H 0.375 0.125 0.750
H 0.625 0.875 0.250
H 0.500 0.500 0.500
H 0.500 0.000 0.000
H 0.000 0.000 0.500
H 0.250 0.375 0.625
H 0.250 0.875 0.125
H 0.000 0.500 0.500
H 0.875 0.250 0.625
H 0.625 0.750 0.875
H 0.875 0.625 0.750
Fe 0.750 0.375 0.125
Fe 0.875 0.750 0.125
Fe 0.375 0.750 0.625
Fe 0.250 0.125 0.375
Fe 0.875 0.125 0.250
Fe 0.375 0.625 0.250
Fe 0.625 0.375 0.750
Fe 0.125 0.875 0.750
Fe 0.750 0.875 0.625
Fe 0.625 0.250 0.375
Fe 0.125 0.250 0.875
Fe 0.250 0.625 0.875
Dy 0.718 0.124 0.031
Dy 0.312 0.531 0.406
Dy 0.969 0.376 0.282
Dy 0.531 0.218 0.124
Dy 0.594 0.718 0.688
Dy 0.969 0.594 0.188
Dy 0.312 0.782 0.406
Dy 0.094 0.906 0.124
Dy 0.594 0.969 0.688
Dy 0.718 0.594 0.188
Dy 0.782 0.469 0.376
Dy 0.812 0.906 0.031
Dy 0.124 0.718 0.531
Dy 0.376 0.406 0.094
Dy 0.094 0.906 0.376
Dy 0.406 0.124 0.594
Dy 0.094 0.188 0.218
Dy 0.469 0.688 0.094
Dy 0.812 0.906 0.282
Dy 0.124 0.406 0.094
Dy 0.376 0.969 0.782
Dy 0.594 0.624 0.406
Dy 0.906 0.812 0.531
Dy 0.782 0.312 0.906
Dy 0.406 0.376 0.594
Dy 0.094 0.188 0.469
Dy 0.218 0.688 0.094
Dy 0.188 0.094 0.718
Dy 0.624 0.031 0.218
Dy 0.876 0.594 0.906
Dy 0.531 0.312 0.906
Dy 0.594 0.876 0.406
Dy 0.906 0.812 0.782
Dy 0.906 0.094 0.624
Dy 0.876 0.282 0.469
Dy 0.188 0.094 0.969
Dy 0.624 0.594 0.906
Dy 0.406 0.031 0.312
Dy 0.282 0.406 0.812
Dy 0.218 0.531 0.624
Dy 0.906 0.094 0.876
Dy 0.688 0.218 0.594
Dy 0.469 0.782 0.876
Dy 0.031 0.406 0.812
Dy 0.406 0.282 0.312
Dy 0.031 0.624 0.718
Dy 0.688 0.469 0.594
Dy 0.282 0.876 0.969

**Total magnetic moment**: 0.00 μB/cell
**Space group**: Ia-3d (230)
**VASP energy**: -5.00 eV/atom



Entry 12:
A plane-wave DFT calculation with PBE was carried out for a geometry-optimized Rb2LaScAu structure.

Cell: 6.365 5.943 6.365 Å, 90.00 90.00 90.00°
Fractional coordinates of all 5 atoms:
Sc 0.500 0.500 0.500
Au 0.000 0.000 0.000
Rb 0.000 0.000 0.500
Rb 0.500 0.000 0.000
La 0.000 0.500 0.000

**Total magnetic moment**: 1.65 μB/cell
**Energy relative to the elements**: 527 meV per atom
**Space group**: P4/mmm (123)
**VASP energy**: -2.77 eV/atom